# 1
The following is a DFT calculation (PBE) of a relaxed AsPPt2 crystal.

## Properties
* polymorph energy (0 for the lowest one): 0.3848 eV per atom
* E_tot: -22.0 eV for the cell shown
* calculated density: 13.0 g/cm³
* space-group type: Fm-3m, No. 225
* formation enthalpy at 0 K: 46 meV per atom

POSCAR file:
```
AsPPt2
1.0
0.000 3.168 3.168
3.168 0.000 3.168
3.168 3.168 0.000
As P Pt
1 1 2
direct
0.000 0.000 0.000 As
0.500 0.500 0.500 P
0.250 0.250 0.250 Pt
0.750 0.750 0.750 Pt
```

# 2
The following is a DFT calculation (PBE) of a relaxed AsP2Pt crystal.

## Properties
* E_tot: -19.8 eV for the cell shown
* calculated density: 8.7 g/cm³
* space-group type: F-43m, No. 216
* formation enthalpy at 0 K: 415 meV per atom

POSCAR file:
```
AsP2Pt
1.0
0.000 3.159 3.159
3.159 0.000 3.159
3.159 3.159 0.000
As P Pt
1 2 1
direct
0.000 0.000 0.000 As
0.250 0.250 0.250 P
0.500 0.500 0.500 P
0.750 0.750 0.750 Pt
```

# 3
The following is a DFT calculation (PBE) of a relaxed As3PPt crystal.

## Properties
* polymorph energy (0 for the lowest one): 0.0000 eV per atom
* E_tot: -21.2 eV for the cell shown
* calculated density: 7.5 g/cm³
* space-group type: Pm-3m, No. 221
* formation enthalpy at 0 K: 844 meV per atom

POSCAR file:
```
As3PPt
1.0
4.635 0.000 0.000
0.000 4.635 0.000
0.000 0.000 4.635
As P Pt
3 1 1
direct
0.000 0.000 0.500 As
0.000 0.500 0.000 As
0.500 0.000 0.000 As
0.000 0.000 0.000 P
0.500 0.500 0.500 Pt
```

# 4
The following is a DFT calculation (PBE) of a relaxed AsPPt2 crystal.

## Properties
* polymorph energy (0 for the lowest one): 0.2763 eV per atom
* E_tot: -22.4 eV for the cell shown
* calculated density: 12.4 g/cm³
* space-group type: Pmmm, No. 47
* formation enthalpy at 0 K: -62 meV per atom

POSCAR file:
```
AsPPt2
1.0
2.846 0.000 0.000
0.000 3.485 0.000
0.000 0.000 6.685
As P Pt
1 1 2
direct
0.000 0.000 0.000 As
0.500 0.000 0.500 P
0.500 0.500 0.252 Pt
0.500 0.500 0.748 Pt
```

# 5
The following is a DFT calculation (PBE) of a relaxed AsPPt2 crystal.

## Properties
* polymorph energy (0 for the lowest one): 0.0425 eV per atom
* E_tot: -46.6 eV for the cell shown
* calculated density: 10.7 g/cm³
* space-group type: I-42d, No. 122
* formation enthalpy at 0 K: -296 meV per atom

POSCAR file:
```
AsPPt2
1.0
-2.355 2.355 6.912
2.355 -2.355 6.912
2.355 2.355 -6.912
As P Pt
2 2 4
direct
0.000 0.000 0.000 As
0.750 0.250 0.500 As
0.250 0.750 0.500 P
0.500 0.500 0.000 P
0.168 0.625 0.043 Pt
0.375 0.418 0.543 Pt
0.582 0.125 0.957 Pt
0.875 0.832 0.457 Pt
```

# 6
The following is a DFT calculation (PBE) of a relaxed AsP2Pt crystal.

## Properties
* E_tot: -20.1 eV for the cell shown
* calculated density: 7.8 g/cm³
* space-group type: Cmm2, No. 35
* formation enthalpy at 0 K: 343 meV per atom

POSCAR file:
```
AsP2Pt
1.0
1.539 -2.560 0.000
1.539 2.560 0.000
0.000 0.000 8.928
As P Pt
1 2 1
direct
0.000 0.000 0.000 As
0.000 0.000 0.472 P
0.500 0.500 0.651 P
0.500 0.500 0.228 Pt
```

# 7
The following is a DFT calculation (PBE) of a relaxed AsPPt crystal.

## Properties
* polymorph energy (0 for the lowest one): 0.7043 eV per atom
* E_tot: -15.8 eV for the cell shown
* calculated density: 9.5 g/cm³
* space-group type: I4mm, No. 107
* formation enthalpy at 0 K: 109 meV per atom

POSCAR file:
```
AsPPt
1.0
-1.502 1.502 5.830
1.502 -1.502 5.830
1.502 1.502 -5.830
As P Pt
1 1 1
direct
0.000 0.000 0.000 As
0.718 0.718 0.000 P
0.333 0.333 0.000 Pt
```

# 8
The following is a DFT calculation (PBE) of a relaxed AsP2Pt crystal.

## Properties
* E_tot: -21.6 eV for the cell shown
* calculated density: 8.4 g/cm³
* space-group type: P4mm, No. 99
* formation enthalpy at 0 K: -19 meV per atom

POSCAR file:
```
AsP2Pt
1.0
3.621 0.000 0.000
0.000 3.621 0.000
0.000 0.000 5.033
As P Pt
1 2 1
direct
0.000 0.000 0.000 As
0.000 0.000 0.479 P
0.500 0.500 0.487 P
0.500 0.500 0.982 Pt
```

Question: The lowest calculated density belongs to which entry?
Answer: As3PPt